Entry 1:
VASP calculation (PBE-GGA) on LaGdSi2Mo2C after structural relaxation.

VASP energy in Ha/atom: -0.289

abc: 11.270 3.917 7.346
angles: 90.00 126.06 90.00
Space group Cm (No. 8)
Unique sites:
La: 0.000 0.000 0.000 (multiplicity 2)
Gd: 0.349 0.500 0.402 (multiplicity 2)
Si: 0.056 0.500 0.373 (multiplicity 2)
Si: 0.289 0.000 0.026 (multiplicity 2)
Mo: 0.127 0.500 0.776 (multiplicity 2)
Mo: 0.216 0.000 0.616 (multiplicity 2)
C: 0.419 0.000 0.687 (multiplicity 2)

=====

Entry 2:
VASP calculation (PBE-GGA) on RbLuO3 after structural relaxation.

VASP energy in Ha/atom: -0.221

abc: 6.3302 6.3302 16.1545
angles: 90.00 90.00 120.00
Space group R-3 (No. 148, hexagonal axes)
Unique sites:
Rb: 0.0000 0.0000 0.1207 (multiplicity 6)
Lu: 0.0000 0.0000 0.3432 (multiplicity 6)
O: 0.0146 0.4801 0.9300 (multiplicity 18)

=====

Entry 3:
VASP calculation (PBE-GGA) on HfSiTe after structural relaxation.

Energy above the lowest structure with this stoichiometry in meV/atom: 0
VASP energy in Ha/atom: -0.253

abc: 3.662 3.662 10.118
angles: 90.00 90.00 90.00
Space group P4/nmm (No. 129, origin choice 2)
Unique sites:
Hf: 0.250 0.250 0.208 (multiplicity 2)
Si: 0.250 0.750 0.000 (multiplicity 2)
Te: 0.250 0.250 0.656 (multiplicity 2)

=====

Entry 4:
VASP calculation (PBE-GGA) on ZnOs after structural relaxation.

VASP energy in Ha/atom: -0.183

abc: 5.037 5.037 5.037
angles: 90.00 90.00 90.00
Space group Fm-3m (No. 225)
Unique sites:
Zn: 0.000 0.000 0.000 (multiplicity 4)
Os: 0.000 0.000 0.500 (multiplicity 4)

=====

Entry 5:
VASP calculation (PBE-GGA) on TbErI6 after structural relaxation.

VASP energy in Ha/atom: -0.136

abc: 7.611 13.200 7.640
angles: 90.00 108.95 90.00
Space group C2 (No. 5)
Unique sites:
Tb: 0.000 0.000 0.000 (multiplicity 2)
Er: 0.000 0.332 0.000 (multiplicity 2)
I: 0.226 0.168 0.247 (multiplicity 4)
I: 0.244 0.340 0.758 (multiplicity 4)
I: 0.249 0.990 0.758 (multiplicity 4)

=====

Entry 6:
VASP calculation (PBE-GGA) on CsBeFe after structural relaxation.

Energy above the lowest structure with this stoichiometry in meV/atom: 0
VASP energy in Ha/atom: -0.093

abc: 7.106 7.106 7.106
angles: 90.00 90.00 90.00
Space group F-43m (No. 216)
Unique sites:
Cs: 0.000 0.000 0.000 (multiplicity 4)
Be: 0.000 0.000 0.500 (multiplicity 4)
Fe: 0.250 0.250 0.750 (multiplicity 4)